An optimized crystal structure of SnPd. Source: Alexandria, functional PBE.

Computed properties:
Formation enthalpy at 0 K, eV per atom: -0.160
Calculated total energy, eV per atom: -4.76

Lattice parameters (Å, degrees): 8.2836 8.2836 3.0732 90.00 90.00 90.00
Space group P4_2/mnm (No. 136)
One atom of each set of equivalent atoms:
1 Sn 0.1940 0.1940 0.0000
2 Pd 0.1216 0.8784 0.0000